Compound: Pr5Ho6Tl
Source: the Alexandria database
Functional: PBE
Structure: optimized geometry

```
Pr5Ho6Tl
1.0
-2.525 5.058 7.580
2.525 -5.058 7.580
2.525 5.058 -7.580
Pr Ho Tl
5 6 1
Cartesian
0.000 0.000 0.000 Pr
2.525 0.000 2.480 Pr
0.000 0.000 5.038 Pr
0.000 0.000 10.123 Pr
0.000 5.058 5.100 Pr
2.525 -2.484 5.088 Ho
2.525 2.578 0.000 Ho
0.000 2.574 2.492 Ho
2.525 2.484 5.088 Ho
0.000 2.479 7.580 Ho
0.000 7.542 2.492 Ho
0.000 5.058 0.000 Tl
```

Summary:
**Electronic total energy**: -53.983 eV per cell
**ρ**: 8.1 Mg/m³
**DFT formation energy**: -0.0211 eV/atom
**Calculated volume**: 32.3 A^3/atom